Density functional theory data (PBE) for a geometry-optimized PrAgPtAu structure.

Computed properties:
Space-group type: F-43m
E, eV/atom: -4.7902
Energy of formation, eV/f.u.: -2.2
D(E_F), states/eV per cell: 6.35
Calculated density, kg/m3: 12356

Cell lengths 7.0101, 7.0101, 7.0101 Å; angles 90.00, 90.00, 90.00 degrees
Closest atoms and distances in Å follow each position.
Atoms (fractional coordinates):
Pr: 0.0000 0.0000 0.0000  4 Pt 3.04, 4 Au 3.04
Pr: 0.0000 0.5000 0.5000  4 Pt 3.04, 4 Au 3.04
Pr: 0.5000 0.0000 0.5000  4 Pt 3.04, 4 Au 3.04
Pr: 0.5000 0.5000 0.0000  4 Pt 3.04, 4 Au 3.04
Ag: 0.0000 0.0000 0.5000  4 Au 3.04, 4 Pt 3.04
Ag: 0.0000 0.5000 0.0000  4 Au 3.04, 4 Pt 3.04
Ag: 0.5000 0.0000 0.0000  4 Au 3.04, 4 Pt 3.04
Ag: 0.5000 0.5000 0.5000  4 Au 3.04, 4 Pt 3.04
Pt: 0.2500 0.2500 0.7500  4 Pr 3.04, 4 Ag 3.04
Pt: 0.2500 0.7500 0.2500  4 Pr 3.04, 4 Ag 3.04
Pt: 0.7500 0.2500 0.2500  4 Pr 3.04, 4 Ag 3.04
Pt: 0.7500 0.7500 0.7500  4 Ag 3.04, 4 Pr 3.04
Au: 0.2500 0.2500 0.2500  4 Pr 3.04, 4 Ag 3.04
Au: 0.2500 0.7500 0.7500  4 Pr 3.04, 4 Ag 3.04
Au: 0.7500 0.2500 0.7500  4 Pr 3.04, 4 Ag 3.04
Au: 0.7500 0.7500 0.2500  4 Pr 3.04, 4 Ag 3.04